Entry 1:
Compound: Sr2ZrTa
Source: Alexandria
Functional: GGA-PBE
Structure: optimized geometry

Values from the calculation:
- DOS(E_F) (states/eV/f.u.) = 4.54
- total energy (eV per atom) = -5.496

Cell lengths 3.7772, 3.7529, 9.9505 Å; angles 68.19, 90.00, 90.00 degrees
Fractional positions:
Sr1 0.0000 0.0611 0.9421
Zr1 0.5000 0.8218 0.6792
Sr2 0.5000 0.1832 0.3137
Ta1 0.0000 0.4339 0.5651

---

Entry 2:
Compound: SrHo2Sc
Source: Alexandria
Functional: GGA-PBE
Structure: optimized geometry

Values from the calculation:
- DOS(E_F) (states/eV/f.u.) = 6.10
- total energy (eV per atom) = -4.031

Cell lengths 3.5324, 3.5324, 12.5607 Å; angles 81.92, 81.92, 60.00 degrees
Fractional positions:
Ho1 0.0957 0.0957 0.7130
Sc1 0.5000 0.5000 0.5000
Ho2 0.9043 0.9043 0.2870
Sr1 0.0000 0.0000 0.0000

---

Entry 3:
Compound: BaZnNi2
Source: Alexandria
Functional: GGA-PBE
Structure: optimized geometry

Values from the calculation:
- DOS(E_F) (states/eV/f.u.) = 1.73
- total energy (eV per atom) = -3.652

Cell lengths 4.7884, 4.7884, 8.8700 Å; angles 74.34, 74.34, 90.00 degrees
Fractional positions:
Ni1 0.3877 0.1250 0.2500
Ni2 0.3750 0.6123 0.7500
Ba1 0.7500 0.2500 0.5000
Ni3 0.8750 0.6377 0.7500
Zn1 0.2500 0.7500 0.5000
Ni4 0.3623 0.6250 0.2500
Zn2 0.5000 0.5000 0.0000
Ba2 0.0000 0.0000 0.0000

---

Entry 4:
Compound: CrTcAg2
Source: Alexandria
Functional: GGA-PBE
Structure: optimized geometry

Values from the calculation:
- DOS(E_F) (states/eV/f.u.) = 2.95
- total energy (eV per atom) = -5.861

Cell lengths 4.8363, 4.8363, 4.8363 Å; angles 130.29, 130.29, 72.94 degrees
Fractional positions:
Cr1 0.5000 0.5000 0.0000
Ag1 0.2500 0.7500 0.5000
Ag2 0.0000 0.0000 0.0000
Tc1 0.7500 0.2500 0.5000

---

Q: What is the total energy in the second record?
A: -4.031 eV per atom

---

Q: The lowest DOS(E_F) belongs to which entry?
A: BaZnNi2

---

Q: Among the records above, which one has the lowest total energy?
A: CrTcAg2

---

Q: Among the records above, which one has the highest total energy?
A: BaZnNi2